Computed, not measured: a relaxed structure of Ta2Zn2NiO8 at the PBE with a Hubbard U level of DFT.

POSCAR file:
```
Ta2Zn2NiO8
1.0
9.613 -2.959 0.000
9.613 2.959 0.000
-0.022 0.000 5.268
Ta Zn Ni O
4 4 2 16
Direct
0.045 0.728 0.735
0.272 0.955 0.765
0.728 0.045 0.235
0.955 0.272 0.265
0.127 0.437 0.232
0.437 0.127 0.732
0.563 0.873 0.268
0.873 0.563 0.768
0.361 0.639 0.250
0.639 0.361 0.750
0.048 0.815 0.073
0.076 0.278 0.565
0.159 0.455 0.860
0.185 0.952 0.427
0.278 0.076 0.065
0.320 0.565 0.586
0.435 0.680 0.914
0.455 0.159 0.360
0.545 0.841 0.640
0.565 0.320 0.086
0.680 0.435 0.414
0.722 0.924 0.935
0.815 0.048 0.573
0.841 0.545 0.140
0.924 0.722 0.435
0.952 0.185 0.927
```

Properties
Crystal system: monoclinic
Theoretical density in g/cm3: 7.53
Magnetization in μB/f.u.: 1.966
Total energy in eV/cell: -192.5